Entry 1:
This record from Alexandria describes a relaxed TiMnTcRh crystal. The functional is PBE.

Calculated values
**Formation energy from the elements**: -357 meV per atom
**D(E_F)**: 0.99 states/eV/atom

abc: 4.3238 4.3238 4.3238
angles: 60.00 60.00 60.00
Sites, in units of the cell vectors:
Tc1 0.0000 0.0000 0.0000
Ti1 0.2500 0.2500 0.2500
Rh1 0.5000 0.5000 0.5000
Mn1 0.7500 0.7500 0.7500

---

Entry 2:
This record from Alexandria describes a relaxed Mn2VTcRh crystal. The functional is PBE.

Calculated values
**Formation energy from the elements**: 1459 meV per atom
**D(E_F)**: 2.22 states/eV/atom

abc: 4.4256 4.7066 4.4256
angles: 90.00 90.00 90.00
Sites, in units of the cell vectors:
Tc1 0.0000 0.0000 0.0000
Rh1 0.0000 0.5000 0.0000
Mn1 0.0000 0.0000 0.5000
Mn2 0.5000 0.0000 0.0000
V1 0.5000 0.5000 0.5000

---

Entry 3:
This record from Alexandria describes a relaxed MnVTcRh crystal. The functional is PBE.

Calculated values
**Formation energy from the elements**: -193 meV per atom
**D(E_F)**: 0.74 states/eV/atom

abc: 4.2706 4.2706 4.2706
angles: 60.00 60.00 60.00
Sites, in units of the cell vectors:
Tc1 0.5000 0.5000 0.5000
Mn1 0.2500 0.2500 0.2500
V1 0.7500 0.7500 0.7500
Rh1 0.0000 0.0000 0.0000

---

Entry 4:
This record from Alexandria describes a relaxed YMnTc2Rh crystal. The functional is PBE.

Calculated values
**Formation energy from the elements**: 847 meV per atom
**D(E_F)**: 1.36 states/eV/atom

abc: 4.3519 4.9726 4.3519
angles: 90.00 90.00 90.00
Sites, in units of the cell vectors:
Tc1 0.0000 0.0000 0.5000
Y1 0.0000 0.5000 0.0000
Mn1 0.0000 0.0000 0.0000
Tc2 0.5000 0.0000 0.0000
Rh1 0.5000 0.5000 0.5000

---

What V values result from the calculations? In sequence: 14.3 18.4 13.8 18.8 A^3/atom.